Entry 1:
The following is a DFT calculation (PBE) of a relaxed structure of ThSbH2.

Properties
polymorph energy (0 for the lowest one) = 0.211 eV per atom

Lattice parameters (Å, degrees): 4.2396 4.2396 3.6569 90.00 90.00 90.07
Last column: nearest neighbours and their distance in Å.
Atoms (fractional coordinates):
Th 0.0000 0.0000 0.0000  4 H 2.12
Sb 0.5000 0.5000 0.5000  8 H 2.80
H 0.0000 0.5000 0.0000  2 Th 2.12
H 0.5000 0.0000 0.0000  2 Th 2.12



Entry 2:
The following is a DFT calculation (PBE) of a relaxed structure of Th4Sb3H2.

Properties
total DFT energy (no corrections) = -6.034 eV/atom

Lattice parameters (Å, degrees): 8.0118 8.0118 7.5479 99.44 99.44 80.49
Last column: nearest neighbours and their distance in Å.
Atoms (fractional coordinates):
Th 0.0618 0.7265 0.5039  2 H 2.42-2.43
Th 0.2735 0.9382 0.9961  2 H 2.42-2.43
Th 0.2861 0.4126 0.8706  2 H 2.42-2.57
Th 0.4126 0.2861 0.3706  2 H 2.42-2.57
Th 0.5874 0.7139 0.6294  2 H 2.42-2.57
Th 0.7139 0.5874 0.1294  2 H 2.42-2.57
Th 0.7265 0.0618 0.0039  2 H 2.42-2.43
Th 0.9382 0.2735 0.4961  2 H 2.42-2.43
Sb 0.0400 0.2872 0.1126  6 Th 3.16-3.29, 3 H 3.24-3.53
Sb 0.2872 0.0400 0.6126  6 Th 3.16-3.29, 3 H 3.24-3.53
Sb 0.3511 0.6489 0.2500  6 Th 3.13-3.18
Sb 0.6489 0.3511 0.7500  6 Th 3.13-3.18
Sb 0.7128 0.9600 0.3874  6 Th 3.16-3.29, 3 H 3.24-3.53
Sb 0.9600 0.7128 0.8874  6 Th 3.16-3.29, 3 H 3.24-3.53
H 0.1759 0.4375 0.5567  4 Th 2.42-2.57
H 0.4375 0.1759 0.0567  4 Th 2.42-2.57
H 0.5625 0.8241 0.9433  4 Th 2.42-2.57
H 0.8241 0.5625 0.4433  4 Th 2.42-2.57



Entry 3:
The following is a DFT calculation (PBE) of a relaxed structure of Th2Zr2Sb2H.

Properties
total DFT energy (no corrections) = -6.940 eV/atom

Lattice parameters (Å, degrees): 8.8485 8.8485 8.8485 150.98 150.98 41.50
Last column: nearest neighbours and their distance in Å.
Atoms (fractional coordinates):
Th 0.1727 0.1727 0.0000  1 H 2.86
Th 0.8273 0.8273 0.0000  1 H 2.86
Zr 0.0000 0.5000 0.5000  2 H 2.22
Zr 0.5000 0.0000 0.5000  2 H 2.22
Sb 0.3720 0.3720 0.0000  4 Zr 3.07, 5 Th 3.22-3.30
Sb 0.6280 0.6280 0.0000  4 Zr 3.07, 5 Th 3.22-3.30
H 0.0000 0.0000 0.0000  4 Zr 2.22



Entry 4:
The following is a DFT calculation (PBE) of a relaxed structure of Ti5Sb2H.

Properties
polymorph energy (0 for the lowest one) = 0.000 eV per atom

Lattice parameters (Å, degrees): 7.2728 5.7854 12.3704 90.00 90.00 90.00
Last column: nearest neighbours and their distance in Å.
Atoms (fractional coordinates):
Ti 0.0000 0.0000 0.0000  2 H 2.03
Ti 0.0000 0.5000 0.0000  2 H 2.03
Ti 0.0172 0.2500 0.2107  1 H 2.28
Ti 0.1601 0.5066 0.6203  1 H 2.03
Ti 0.1601 0.9934 0.6203  1 H 2.03
Ti 0.1802 0.7500 0.4077  1 H 2.06
Ti 0.3198 0.2500 0.9077  1 H 2.06
Ti 0.3399 0.0066 0.1203  1 H 2.03
Ti 0.3399 0.4934 0.1203  1 H 2.03
Ti 0.4828 0.7500 0.7107  1 H 2.28
Ti 0.5000 0.0000 0.5000  2 H 2.03
Ti 0.5000 0.5000 0.5000  2 H 2.03
Ti 0.5172 0.2500 0.2893  1 H 2.28
Ti 0.6601 0.5066 0.8797  1 H 2.03
Ti 0.6601 0.9934 0.8797  1 H 2.03
Ti 0.6802 0.7500 0.0923  1 H 2.06
Ti 0.8198 0.2500 0.5923  1 H 2.06
Ti 0.8399 0.0066 0.3797  1 H 2.03
Ti 0.8399 0.4934 0.3797  1 H 2.03
Ti 0.9828 0.7500 0.7893  1 H 2.28
Sb 0.0217 0.7500 0.2015  10 Ti 2.80-2.97
Sb 0.1751 0.2500 0.4226  10 Ti 2.86-2.99
Sb 0.3249 0.7500 0.9226  10 Ti 2.86-2.99
Sb 0.4783 0.2500 0.7015  10 Ti 2.80-2.97
Sb 0.5217 0.7500 0.2985  10 Ti 2.80-2.97
Sb 0.6751 0.2500 0.0774  10 Ti 2.86-2.99
Sb 0.8249 0.7500 0.5774  10 Ti 2.86-2.99
Sb 0.9783 0.2500 0.7985  10 Ti 2.80-2.97
H 0.1753 0.2500 0.0514  5 Ti 2.03-2.06
H 0.3247 0.7500 0.5514  5 Ti 2.03-2.06
H 0.6753 0.2500 0.4486  5 Ti 2.03-2.06
H 0.8247 0.7500 0.9486  5 Ti 2.03-2.06